VASP calculation (SCAN) on a PBEsol-optimized structure of K2CdRh.

Results
V: 133 Å³/f.u.
Energy of formation from the pure elements: 3.666 kcal/mol of atoms
DFT total energy: -20.05 eV/atom

Unit cell a=9.8285 b=9.8285 c=4.1928 alpha=102.05 beta=102.05 gamma=19.60
With the nearest neighbours (Å) after each atom.
Element x y z (fractional)
1 K 0.1423 0.1423 0.1398  2 Rh 3.17, 2 K 3.35, 2 Cd 3.41-3.42
2 K 0.8577 0.8577 0.8602  2 Rh 3.17, 2 K 3.35, 2 Cd 3.41-3.42
3 Cd 0.0000 0.0000 0.5000  4 Rh 2.68
4 Rh 0.5000 0.5000 0.0000  4 Cd 2.68

VASP calculation (SCAN) on a PBEsol-optimized structure of SrCoIr2.

Results
V: 69 Å³/f.u.
Energy of formation from the pure elements: 6.919 kcal/mol of atoms
Energy relative to the lowest polymorph listed for this composition: 0.5552 eV per atom
DFT total energy: -45.14 eV/atom

Unit cell a=2.7526 b=3.6526 c=6.8654 alpha=90.00 beta=90.00 gamma=90.00
With the nearest neighbours (Å) after each atom.
Element x y z (fractional)
1 Sr 0.0000 0.0000 0.0000  2 Sr 2.75
2 Co 0.5000 0.5000 0.3237  5 Ir 2.47-2.54, 2 Co 2.75
3 Ir 0.0000 0.0000 0.4834  4 Co 2.54, 6 Ir 2.67-2.75
4 Ir 0.5000 0.5000 0.6832  1 Co 2.47, 6 Ir 2.67-2.75

VASP calculation (SCAN) on a PBEsol-optimized structure of NiH12S2N2O10.

Results
V: 235 Å³/f.u.
DFT total energy: -6.90 eV/atom

Unit cell a=6.4434 b=6.4872 c=6.6402 alpha=89.40 beta=66.68 gamma=68.78
With the nearest neighbours (Å) after each atom.
Element x y z (fractional)
1 Ni 0.0000 0.0000 0.0000  4 O 2.04, 2 N 2.09
2 H 0.1734 0.3013 0.8264  1 O 0.99
3 H 0.2088 0.2895 0.0507  1 O 0.99
4 H 0.2367 0.6909 0.1839  1 O 0.99
5 H 0.2442 0.9274 0.2428  1 O 0.99
6 H 0.2713 0.6659 0.6777  1 N 1.04
7 H 0.2705 0.9126 0.5929  1 N 1.04
8 H 0.7295 0.0874 0.4071  1 N 1.04
9 H 0.7287 0.3341 0.3223  1 N 1.04
10 H 0.7558 0.0726 0.7572  1 O 0.99
11 H 0.7633 0.3091 0.8161  1 O 0.99
12 H 0.7912 0.7105 0.9493  1 O 0.99
13 H 0.8266 0.6987 0.1736  1 O 0.99
14 S 0.4005 0.2692 0.3515  3 O 1.46-1.47
15 S 0.5995 0.7308 0.6485  3 O 1.46-1.47
16 N 0.2991 0.8091 0.7088  2 H 1.04
17 N 0.7009 0.1909 0.2912  2 H 1.04
18 O 0.1148 0.2574 0.9764  2 H 0.99
19 O 0.1434 0.8556 0.2147  2 H 0.99
20 O 0.2639 0.4045 0.5734  1 S 1.47
21 O 0.3589 0.3954 0.1775  1 S 1.46
22 O 0.3683 0.0581 0.3453  1 S 1.46
23 O 0.6317 0.9419 0.6547  1 S 1.46
24 O 0.6411 0.6046 0.8225  1 S 1.46
25 O 0.7361 0.5955 0.4266  1 S 1.47
26 O 0.8566 0.1444 0.7853  2 H 0.99
27 O 0.8852 0.7426 0.0236  2 H 0.99

VASP calculation (SCAN) on a PBEsol-optimized structure of InHg3.

Results
V: 96 Å³/f.u.
Energy of formation from the pure elements: 0.685 kcal/mol of atoms
DFT total energy: -59.44 eV/atom

Unit cell a=3.3062 b=3.3062 c=10.0976 alpha=90.00 beta=90.00 gamma=120.00
With the nearest neighbours (Å) after each atom.
Element x y z (fractional)
1 In 0.0000 0.0000 0.0000  6 Hg 3.20, 6 In 3.31
2 Hg 0.0000 0.0000 0.5000  12 Hg 3.13-3.31
3 Hg 0.6667 0.3333 0.2548  9 Hg 3.13-3.31, 3 In 3.20
4 Hg 0.6667 0.3333 0.7452  9 Hg 3.13-3.31, 3 In 3.20

VASP calculation (SCAN) on a PBEsol-optimized structure of YClO.

Results
V: 49 Å³/f.u.
Energy relative to the elements, uncorrected: -3.43 eV per atom
DFT total energy: -17.45 eV/atom

Unit cell a=3.8609 b=3.8609 c=6.5794 alpha=90.00 beta=90.00 gamma=90.00
With the nearest neighbours (Å) after each atom.
Element x y z (fractional)
1 Y 0.2500 0.2500 0.1688  4 O 2.23
2 Y 0.7500 0.7500 0.8312  4 O 2.23
3 Cl 0.2500 0.2500 0.6270  5 Y 3.01-3.04, 4 O 3.12, 4 Cl 3.20
4 Cl 0.7500 0.7500 0.3730  5 Y 3.01-3.04, 4 O 3.12, 4 Cl 3.20
5 O 0.2500 0.7500 0.0000  4 Y 2.23
6 O 0.7500 0.2500 0.0000  4 Y 2.23

VASP calculation (SCAN) on a PBEsol-optimized structure of Mn2CuOs.

Results
V: 48 Å³/f.u.
Energy of formation from the pure elements: 0.007 kcal/mol of atoms
DFT total energy: -30.90 eV/atom

Unit cell a=2.6398 b=2.6398 c=6.9502 alpha=90.00 beta=90.00 gamma=90.00
With the nearest neighbours (Å) after each atom.
Element x y z (fractional)
1 Mn 0.0000 0.0000 0.2477  4 Cu 2.54, 4 Os 2.56, 4 Mn 2.64
2 Mn 0.0000 0.0000 0.7523  4 Cu 2.54, 4 Os 2.56, 4 Mn 2.64
3 Cu 0.5000 0.5000 0.0000  8 Mn 2.54, 4 Cu 2.64
4 Os 0.5000 0.5000 0.5000  8 Mn 2.56, 4 Os 2.64

Look up the DFT total energy of the fifth one.
-17.45 eV/atom